Record 1
{"formula": "Ac5CoAg2H", "functional": "PBE", "state": "relaxed", "cell": [[-3.928, -1.109, -0.983], [1.358, -4.462, 8.569], [-4.855, 11.298, 6.652]], "species": ["Ac", "Ac", "Ac", "Ac", "Ac", "Ac", "Ac", "Ac", "Ac", "Ac", "Co", "Co", "Ag", "Ag", "Ag", "Ag", "H", "H"], "fractional_positions": [[0.355, 0.711, 0.021], [0.698, 0.397, 0.883], [0.498, 0.997, 0.767], [0.298, 0.596, 0.664], [0.950, 0.900, 0.509], [0.645, 0.289, 0.521], [0.302, 0.603, 0.383], [0.502, 0.003, 0.267], [0.702, 0.404, 0.164], [0.050, 0.100, 0.009], [0.796, 0.591, 0.523], [0.204, 0.409, 0.023], [0.875, 0.751, 0.833], [0.122, 0.244, 0.709], [0.125, 0.249, 0.333], [0.878, 0.756, 0.209], [0.567, 0.135, 0.915], [0.433, 0.865, 0.415]], "final_energy_ev_per_cell": -77.08, "magmom_total_mub_per_atom": 0.036}



Record 2
{"formula": "AcHoCoAg", "functional": "PBE", "state": "relaxed", "cell": [[-0.476, 3.417, -3.864], [-0.890, -1.656, -4.827], [-4.622, 0.795, -2.200]], "species": ["Ac", "Co", "Ho", "Ag"], "fractional_positions": [[0.500, 0.500, 0.500], [0.250, 0.250, 0.250], [0.000, 0.000, 0.000], [0.750, 0.750, 0.750]], "ef_ev_per_fu": -0.08, "final_energy_ev_per_cell": -18.72, "magmom_total_mub_per_atom": 0.186}



Record 3
{"formula": "Ac4CoAgI2", "functional": "PBE", "state": "relaxed", "cell": [[4.417, 0.000, 0.000], [0.000, 7.871, 0.171], [0.000, -2.748, 8.559]], "species": ["Ac", "Ac", "Ac", "Ac", "Co", "Ag", "I", "I"], "fractional_positions": [[0.500, 0.263, 0.189], [0.500, 0.737, 0.811], [0.000, 0.291, 0.816], [0.000, 0.709, 0.184], [0.500, 0.500, 0.000], [0.000, 0.000, 0.000], [0.500, 0.000, 0.500], [0.000, 0.500, 0.500]], "formation_energy_uncorrected_mev_per_atom": -609, "final_energy_ev_per_cell": -34.36, "magmom_total_mub_per_atom": 0.000}